# 1
Compound: LiAlSb2
Source: Alexandria
Functional: PBE
Structure: optimized geometry

The formation energy (no corrections) comes out at -10.2 kJ/mol of atoms. The total energy is -3.581 eV per atom.

The structure in CIF format:
```
data_LiAlSb2
_space_group_name_H-M_alt 'C 1 2/m 1'
_space_group_IT_number 12
_cell_length_a 8.5008
_cell_length_b 3.9639
_cell_length_c 5.7157
_cell_angle_alpha 90.00
_cell_angle_beta 109.13
_cell_angle_gamma 90.00
loop_
_space_group_symop_operation_xyz
'x,y,z'
'-x,-y,-z'
'-x,y,-z'
'x,-y,z'
'x+1/2,y+1/2,z'
'-x+1/2,-y+1/2,-z'
'-x+1/2,y+1/2,-z'
'x+1/2,-y+1/2,z'
loop_
_atom_site_label
_atom_site_type_symbol
_atom_site_fract_x
_atom_site_fract_y
_atom_site_fract_z
Li1 Li 0.0000 0.0000 0.0000
Al1 Al 0.0000 0.5000 0.5000
Sb1 Sb 0.2403 0.0000 0.7664
```

=====

# 2
Compound: Li3AlSb
Source: Alexandria
Functional: PBE
Structure: optimized geometry

The formation energy (no corrections) comes out at 5.8 kJ/mol of atoms. The total energy is -2.661 eV per atom. The energy above the most stable polymorph in this dataset is 0.000 eV/atom.

The structure in CIF format:
```
data_Li3AlSb
_space_group_name_H-M_alt 'P m -3 m'
_space_group_IT_number 221
_space_group_name_Hall '-P 4 2 3'
_cell_length_a 5.1153
_cell_length_b 5.1153
_cell_length_c 5.1153
_cell_angle_alpha 90.00
_cell_angle_beta 90.00
_cell_angle_gamma 90.00
loop_
_atom_site_label
_atom_site_type_symbol
_atom_site_fract_x
_atom_site_fract_y
_atom_site_fract_z
Li1 Li 0.0000 0.0000 0.5000
Al1 Al 0.5000 0.5000 0.5000
Sb1 Sb 0.0000 0.0000 0.0000
```

=====

# 3
Compound: LiAlSb2
Source: Alexandria
Functional: PBE
Structure: optimized geometry

The formation energy (no corrections) comes out at 1.6 kJ/mol of atoms. The total energy is -3.459 eV per atom.

The structure in CIF format:
```
data_LiAlSb2
_space_group_name_H-M_alt 'P 4 m m'
_space_group_IT_number 99
_cell_length_a 3.1206
_cell_length_b 3.1206
_cell_length_c 9.8317
_cell_angle_alpha 90.00
_cell_angle_beta 90.00
_cell_angle_gamma 90.00
loop_
_space_group_symop_operation_xyz
'x,y,z'
'-y,x,z'
'-x,-y,z'
'y,-x,z'
'-x,y,z'
'y,x,z'
'x,-y,z'
'-y,-x,z'
loop_
_atom_site_label
_atom_site_type_symbol
_atom_site_fract_x
_atom_site_fract_y
_atom_site_fract_z
Li1 Li 0.0000 0.0000 0.0000
Al1 Al 0.5000 0.5000 0.7812
Sb1 Sb 0.0000 0.0000 0.5674
Sb2 Sb 0.5000 0.5000 0.2132
```

=====

# 4
Compound: LiAlSb
Source: Alexandria
Functional: PBE
Structure: optimized geometry

The formation energy (no corrections) comes out at -8.5 kJ/mol of atoms. The total energy is -3.348 eV per atom.

The structure in CIF format:
```
data_LiAlSb
_space_group_name_H-M_alt 'P 3 m 1'
_space_group_IT_number 156
_cell_length_a 4.9350
_cell_length_b 4.9350
_cell_length_c 3.0530
_cell_angle_alpha 90.00
_cell_angle_beta 90.00
_cell_angle_gamma 120.00
loop_
_space_group_symop_operation_xyz
'x,y,z'
'-y,x-y,z'
'-x+y,-x,z'
'-y,-x,z'
'-x+y,y,z'
'x,x-y,z'
loop_
_atom_site_label
_atom_site_type_symbol
_atom_site_fract_x
_atom_site_fract_y
_atom_site_fract_z
Li1 Li 0.0000 0.0000 0.0000
Al1 Al 0.6667 0.3333 0.5013
Sb1 Sb 0.3333 0.6667 0.4989
```

=====

# 5
Compound: LiAl3Sb
Source: Alexandria
Functional: PBE
Structure: optimized geometry

The formation energy (no corrections) comes out at 43.9 kJ/mol of atoms. The total energy is -2.998 eV per atom. The energy above the most stable polymorph in this dataset is 0.000 eV/atom.

The structure in CIF format:
```
data_LiAl3Sb
_space_group_name_H-M_alt 'P m -3 m'
_space_group_IT_number 221
_space_group_name_Hall '-P 4 2 3'
_cell_length_a 4.6708
_cell_length_b 4.6708
_cell_length_c 4.6708
_cell_angle_alpha 90.00
_cell_angle_beta 90.00
_cell_angle_gamma 90.00
loop_
_atom_site_label
_atom_site_type_symbol
_atom_site_fract_x
_atom_site_fract_y
_atom_site_fract_z
Li1 Li 0.0000 0.0000 0.0000
Al1 Al 0.0000 0.0000 0.5000
Sb1 Sb 0.5000 0.5000 0.5000
```

=====

# 6
Compound: LiAlSb2
Source: Alexandria
Functional: PBE
Structure: optimized geometry

The formation energy (no corrections) comes out at -4.7 kJ/mol of atoms. The total energy is -3.524 eV per atom.

The structure in CIF format:
```
data_LiAlSb2
_space_group_name_H-M_alt 'P 1 2/m 1'
_space_group_IT_number 10
_cell_length_a 3.4369
_cell_length_b 3.9748
_cell_length_c 6.6242
_cell_angle_alpha 90.00
_cell_angle_beta 95.79
_cell_angle_gamma 90.00
loop_
_space_group_symop_operation_xyz
'x,y,z'
'-x,-y,-z'
'-x,y,-z'
'x,-y,z'
loop_
_atom_site_label
_atom_site_type_symbol
_atom_site_fract_x
_atom_site_fract_y
_atom_site_fract_z
Li1 Li 0.0000 0.0000 0.0000
Al1 Al 0.0000 0.0000 0.5000
Sb1 Sb 0.4891 0.5000 0.7513
```

=====

# 7
Compound: Li2AlSb
Source: Alexandria
Functional: PBE
Structure: optimized geometry

The formation energy (no corrections) comes out at -18.2 kJ/mol of atoms. The total energy is -3.112 eV per atom.

The structure in CIF format:
```
data_Li2AlSb
_space_group_name_H-M_alt 'P 4/m m m'
_space_group_IT_number 123
_space_group_name_Hall '-P 4 2'
_cell_length_a 3.0495
_cell_length_b 3.0495
_cell_length_c 8.3876
_cell_angle_alpha 90.00
_cell_angle_beta 90.00
_cell_angle_gamma 90.00
loop_
_atom_site_label
_atom_site_type_symbol
_atom_site_fract_x
_atom_site_fract_y
_atom_site_fract_z
Li1 Li 0.0000 0.0000 0.2422
Al1 Al 0.5000 0.5000 0.0000
Sb1 Sb 0.5000 0.5000 0.5000
```

=====

# 8
Compound: LiAl2Sb
Source: Alexandria
Functional: PBE
Structure: optimized geometry

The formation energy (no corrections) comes out at -6.1 kJ/mol of atoms. The total energy is -3.443 eV per atom.

The structure in CIF format:
```
data_LiAl2Sb
_space_group_name_H-M_alt 'P 1 m 1'
_space_group_IT_number 6
_cell_length_a 3.1899
_cell_length_b 4.0883
_cell_length_c 6.2795
_cell_angle_alpha 90.00
_cell_angle_beta 102.99
_cell_angle_gamma 90.00
loop_
_space_group_symop_operation_xyz
'x,y,z'
'x,-y,z'
loop_
_atom_site_label
_atom_site_type_symbol
_atom_site_fract_x
_atom_site_fract_y
_atom_site_fract_z
Li1 Li 0.0000 0.0000 0.0000
Al1 Al 0.3841 0.5000 0.7248
Al2 Al 0.7968 0.0000 0.5408
Sb1 Sb 0.5935 0.5000 0.2049
```

=====

# 9
Compound: LiAlSb2
Source: Alexandria
Functional: PBE
Structure: optimized geometry

The formation energy (no corrections) comes out at -5.3 kJ/mol of atoms. The total energy is -3.531 eV per atom.

The structure in CIF format:
```
data_LiAlSb2
_space_group_name_H-M_alt 'P 4/m m m'
_space_group_IT_number 123
_space_group_name_Hall '-P 4 2'
_cell_length_a 3.3317
_cell_length_b 3.3317
_cell_length_c 8.0965
_cell_angle_alpha 90.00
_cell_angle_beta 90.00
_cell_angle_gamma 90.00
loop_
_atom_site_label
_atom_site_type_symbol
_atom_site_fract_x
_atom_site_fract_y
_atom_site_fract_z
Li1 Li 0.0000 0.0000 0.0000
Al1 Al 0.0000 0.0000 0.5000
Sb1 Sb 0.5000 0.5000 0.2509
```

=====

# 10
Compound: LiAl2Sb2
Source: Alexandria
Functional: PBE
Structure: optimized geometry

The formation energy (no corrections) comes out at -1.0 kJ/mol of atoms. The total energy is -3.539 eV per atom. The energy above the most stable polymorph in this dataset is 0.021 eV/atom.

The structure in CIF format:
```
data_LiAl2Sb2
_space_group_name_H-M_alt 'P 4/m b m'
_space_group_IT_number 127
_space_group_name_Hall '-P 4 2ab'
_cell_length_a 7.7204
_cell_length_b 7.7204
_cell_length_c 3.7442
_cell_angle_alpha 90.00
_cell_angle_beta 90.00
_cell_angle_gamma 90.00
loop_
_atom_site_label
_atom_site_type_symbol
_atom_site_fract_x
_atom_site_fract_y
_atom_site_fract_z
Li1 Li 0.0000 0.0000 0.0000
Al1 Al 0.1267 0.3733 0.0000
Sb1 Sb 0.1707 0.6707 0.5000
```

=====

# 11
Compound: LiAl2Sb
Source: Alexandria
Functional: PBE
Structure: optimized geometry

The formation energy (no corrections) comes out at -5.4 kJ/mol of atoms. The total energy is -3.436 eV per atom.

The structure in CIF format:
```
data_LiAl2Sb
_space_group_name_H-M_alt 'C m m m'
_space_group_IT_number 65
_space_group_name_Hall '-C 2 2'
_cell_length_a 5.5049
_cell_length_b 6.6635
_cell_length_c 4.3167
_cell_angle_alpha 90.00
_cell_angle_beta 90.00
_cell_angle_gamma 90.00
loop_
_atom_site_label
_atom_site_type_symbol
_atom_site_fract_x
_atom_site_fract_y
_atom_site_fract_z
Li1 Li 0.0000 0.0000 0.0000
Al1 Al 0.2500 0.2500 0.5000
Sb1 Sb 0.0000 0.5000 0.0000
```

=====

# 12
Compound: Li2AlSb
Source: Alexandria
Functional: PBE
Structure: optimized geometry

The formation energy (no corrections) comes out at -23.8 kJ/mol of atoms. The total energy is -3.170 eV per atom.

The structure in CIF format:
```
data_Li2AlSb
_space_group_name_H-M_alt 'C m m m'
_space_group_IT_number 65
_space_group_name_Hall '-C 2 2'
_cell_length_a 6.0349
_cell_length_b 8.7240
_cell_length_c 2.9009
_cell_angle_alpha 90.00
_cell_angle_beta 90.00
_cell_angle_gamma 90.00
loop_
_atom_site_label
_atom_site_type_symbol
_atom_site_fract_x
_atom_site_fract_y
_atom_site_fract_z
Li1 Li 0.2500 0.2500 0.0000
Al1 Al 0.0000 0.0000 0.5000
Sb1 Sb 0.0000 0.5000 0.5000
```

=====

The following volume values (in Å³/f.u.) correspond, in order, to the records above: 90.98, 133.85, 95.74, 64.39, 101.90, 90.03, 78.00, 79.80, 89.87, 111.59, 79.17, 76.36.